Record 1
{
  "formula": "CaYCr",
  "functional": "PBE-GGA",
  "state": "relaxed",
  "cell": [[-3.2372, -3.4539, 1.9971], [-1.1781, -4.2454, -2.6430], [1.7592, -4.5683, 1.5600]],
  "species": ["Ca", "Y", "Cr"],
  "fractional_positions": [[0.5000, 0.5000, 0.5000], [0.0000, 0.0000, 0.0000], [0.2500, 0.2500, 0.2500]],
  "total_energy_ev_per_atom": -5.3336,
  "formation_enthalpy_0k_ev_per_atom": 0.70
}

Record 2
{
  "formula": "CaY2Cr",
  "functional": "PBE-GGA",
  "state": "relaxed",
  "cell": [[10.9544, 0.0720, 0.0424], [10.3366, 3.6274, 0.0424], [10.3366, 1.7960, 3.1519]],
  "species": ["Cr", "Y", "Y", "Ca"],
  "fractional_positions": [[0.7500, 0.7500, 0.7500], [0.0170, 0.0170, 0.0170], [0.4830, 0.4830, 0.4830], [0.2500, 0.2500, 0.2500]],
  "total_energy_ev_per_atom": -5.7412,
  "formation_enthalpy_0k_ev_per_atom": 0.40
}